1 | A plane-wave DFT calculation with GGA-PBE was carried out for a geometry-optimized Hf2MnCoH structure.

Geometry as CIF:
```
data_Hf2MnCoH
_symmetry_space_group_name_H-M 'P 4/m m m'
_symmetry_Int_Tables_number 123
_symmetry_space_group_name_Hall '-P 4 2'
_cell_length_a 4.471
_cell_length_b 4.471
_cell_length_c 3.275
_cell_angle_alpha 90.00
_cell_angle_beta 90.00
_cell_angle_gamma 90.00
loop_
_atom_site_label
_atom_site_fract_x
_atom_site_fract_y
_atom_site_fract_z
Hf1 0.000 0.500 0.000
Mn1 0.000 0.000 0.500
Co1 0.500 0.500 0.500
H1 0.000 0.000 0.000
```

The calculation puts the density of states at the Fermi level at 2.04 states/eV/f.u.

2 | A plane-wave DFT calculation with GGA-PBE was carried out for a geometry-optimized Hf2MnCoH structure.

Geometry as CIF:
```
data_Hf2MnCoH
_symmetry_space_group_name_H-M 'P 4/m m m'
_symmetry_Int_Tables_number 123
_symmetry_space_group_name_Hall '-P 4 2'
_cell_length_a 4.432
_cell_length_b 4.432
_cell_length_c 3.303
_cell_angle_alpha 90.00
_cell_angle_beta 90.00
_cell_angle_gamma 90.00
loop_
_atom_site_label
_atom_site_fract_x
_atom_site_fract_y
_atom_site_fract_z
Hf1 0.000 0.500 0.000
Mn1 0.000 0.000 0.500
Co1 0.500 0.500 0.500
H1 0.500 0.500 0.000
```

The calculation puts the density of states at the Fermi level at 1.94 states/eV/f.u.

Stability summary - winner: 2; margin: 10 meV per atom.

1 | A plane-wave DFT calculation with GGA-PBE was carried out for a geometry-optimized Hf2CoMoH structure.

Geometry as CIF:
```
data_Hf2CoMoH
_symmetry_space_group_name_H-M 'P 4/m m m'
_symmetry_Int_Tables_number 123
_symmetry_space_group_name_Hall '-P 4 2'
_cell_length_a 4.545
_cell_length_b 4.545
_cell_length_c 3.454
_cell_angle_alpha 90.00
_cell_angle_beta 90.00
_cell_angle_gamma 90.00
loop_
_atom_site_label
_atom_site_fract_x
_atom_site_fract_y
_atom_site_fract_z
Hf1 0.000 0.500 0.000
Co1 0.000 0.000 0.500
Mo1 0.500 0.500 0.500
H1 0.500 0.500 0.000
```

The calculation puts the density of states at the Fermi level at 2.81 states/eV/f.u.

2 | A plane-wave DFT calculation with GGA-PBE was carried out for a geometry-optimized Hf2CoMoH structure.

Geometry as CIF:
```
data_Hf2CoMoH
_symmetry_space_group_name_H-M 'P 4/m m m'
_symmetry_Int_Tables_number 123
_symmetry_space_group_name_Hall '-P 4 2'
_cell_length_a 4.572
_cell_length_b 4.572
_cell_length_c 3.343
_cell_angle_alpha 90.00
_cell_angle_beta 90.00
_cell_angle_gamma 90.00
loop_
_atom_site_label
_atom_site_fract_x
_atom_site_fract_y
_atom_site_fract_z
Hf1 0.000 0.500 0.000
Co1 0.000 0.000 0.500
Mo1 0.500 0.500 0.500
H1 0.000 0.000 0.000
```

The calculation puts the density of states at the Fermi level at 3.43 states/eV/f.u.

Stability summary - winner: 2; margin: 78 meV per atom.

1 | A plane-wave DFT calculation with GGA-PBE was carried out for a geometry-optimized HfCo2HPt structure.

Geometry as CIF:
```
data_HfCo2HPt
_symmetry_space_group_name_H-M 'P 4/m m m'
_symmetry_Int_Tables_number 123
_symmetry_space_group_name_Hall '-P 4 2'
_cell_length_a 3.809
_cell_length_b 3.809
_cell_length_c 4.006
_cell_angle_alpha 90.00
_cell_angle_beta 90.00
_cell_angle_gamma 90.00
loop_
_atom_site_label
_atom_site_fract_x
_atom_site_fract_y
_atom_site_fract_z
Hf1 0.000 0.000 0.000
Co1 0.000 0.500 0.500
H1 0.000 0.000 0.500
Pt1 0.500 0.500 0.000
```

The calculation puts the density of states at the Fermi level at 2.02 states/eV/f.u.

2 | A plane-wave DFT calculation with GGA-PBE was carried out for a geometry-optimized HfCo2HPt structure.

Geometry as CIF:
```
data_HfCo2HPt
_symmetry_space_group_name_H-M 'P 4/m m m'
_symmetry_Int_Tables_number 123
_symmetry_space_group_name_Hall '-P 4 2'
_cell_length_a 3.898
_cell_length_b 3.898
_cell_length_c 3.813
_cell_angle_alpha 90.00
_cell_angle_beta 90.00
_cell_angle_gamma 90.00
loop_
_atom_site_label
_atom_site_fract_x
_atom_site_fract_y
_atom_site_fract_z
Hf1 0.000 0.000 0.000
Co1 0.000 0.500 0.500
H1 0.500 0.500 0.500
Pt1 0.500 0.500 0.000
```

The calculation puts the density of states at the Fermi level at 1.81 states/eV/f.u.

Stability summary - winner: 1; margin: 16 meV per atom.

1 | A plane-wave DFT calculation with GGA-PBE was carried out for a geometry-optimized Hf2CoHPt structure.

Geometry as CIF:
```
data_Hf2CoHPt
_symmetry_space_group_name_H-M 'P 4/m m m'
_symmetry_Int_Tables_number 123
_symmetry_space_group_name_Hall '-P 4 2'
_cell_length_a 4.905
_cell_length_b 4.905
_cell_length_c 3.157
_cell_angle_alpha 90.00
_cell_angle_beta 90.00
_cell_angle_gamma 90.00
loop_
_atom_site_label
_atom_site_fract_x
_atom_site_fract_y
_atom_site_fract_z
Hf1 0.000 0.500 0.000
Co1 0.000 0.000 0.000
H1 0.000 0.000 0.500
Pt1 0.500 0.500 0.500
```

The calculation puts the density of states at the Fermi level at 3.93 states/eV/f.u.

2 | A plane-wave DFT calculation with GGA-PBE was carried out for a geometry-optimized Hf2CoHPt structure.

Geometry as CIF:
```
data_Hf2CoHPt
_symmetry_space_group_name_H-M 'P 4/m m m'
_symmetry_Int_Tables_number 123
_symmetry_space_group_name_Hall '-P 4 2'
_cell_length_a 4.540
_cell_length_b 4.540
_cell_length_c 3.410
_cell_angle_alpha 90.00
_cell_angle_beta 90.00
_cell_angle_gamma 90.00
loop_
_atom_site_label
_atom_site_fract_x
_atom_site_fract_y
_atom_site_fract_z
Hf1 0.000 0.500 0.000
Co1 0.000 0.000 0.500
H1 0.000 0.000 0.000
Pt1 0.500 0.500 0.500
```

The calculation puts the density of states at the Fermi level at 5.09 states/eV/f.u.

Stability summary - winner: 2; margin: 417 meV per atom.

1 | A plane-wave DFT calculation with GGA-PBE was carried out for a geometry-optimized Hf2CoReH structure.

Geometry as CIF:
```
data_Hf2CoReH
_symmetry_space_group_name_H-M 'P 4/m m m'
_symmetry_Int_Tables_number 123
_symmetry_space_group_name_Hall '-P 4 2'
_cell_length_a 4.492
_cell_length_b 4.492
_cell_length_c 3.498
_cell_angle_alpha 90.00
_cell_angle_beta 90.00
_cell_angle_gamma 90.00
loop_
_atom_site_label
_atom_site_fract_x
_atom_site_fract_y
_atom_site_fract_z
Hf1 0.000 0.500 0.000
Co1 0.000 0.000 0.500
Re1 0.500 0.500 0.500
H1 0.500 0.500 0.000
```

The calculation puts the density of states at the Fermi level at 2.51 states/eV/f.u.

2 | A plane-wave DFT calculation with GGA-PBE was carried out for a geometry-optimized Hf2CoReH structure.

Geometry as CIF:
```
data_Hf2CoReH
_symmetry_space_group_name_H-M 'P 4/m m m'
_symmetry_Int_Tables_number 123
_symmetry_space_group_name_Hall '-P 4 2'
_cell_length_a 4.526
_cell_length_b 4.526
_cell_length_c 3.355
_cell_angle_alpha 90.00
_cell_angle_beta 90.00
_cell_angle_gamma 90.00
loop_
_atom_site_label
_atom_site_fract_x
_atom_site_fract_y
_atom_site_fract_z
Hf1 0.000 0.500 0.000
Co1 0.000 0.000 0.500
Re1 0.500 0.500 0.500
H1 0.000 0.000 0.000
```

The calculation puts the density of states at the Fermi level at 1.85 states/eV/f.u.

Stability summary - winner: 2; margin: 174 meV per atom.

1 | A plane-wave DFT calculation with GGA-PBE was carried out for a geometry-optimized Hf2CoHRh structure.

Geometry as CIF:
```
data_Hf2CoHRh
_symmetry_space_group_name_H-M 'P 4/m m m'
_symmetry_Int_Tables_number 123
_symmetry_space_group_name_Hall '-P 4 2'
_cell_length_a 4.439
_cell_length_b 4.439
_cell_length_c 3.552
_cell_angle_alpha 90.00
_cell_angle_beta 90.00
_cell_angle_gamma 90.00
loop_
_atom_site_label
_atom_site_fract_x
_atom_site_fract_y
_atom_site_fract_z
Hf1 0.000 0.500 0.000
Co1 0.000 0.000 0.500
H1 0.500 0.500 0.000
Rh1 0.500 0.500 0.500
```

The calculation puts the density of states at the Fermi level at 4.18 states/eV/f.u.

2 | A plane-wave DFT calculation with GGA-PBE was carried out for a geometry-optimized Hf2CoHRh structure.

Geometry as CIF:
```
data_Hf2CoHRh
_symmetry_space_group_name_H-M 'P 4/m m m'
_symmetry_Int_Tables_number 123
_symmetry_space_group_name_Hall '-P 4 2'
_cell_length_a 4.482
_cell_length_b 4.482
_cell_length_c 3.400
_cell_angle_alpha 90.00
_cell_angle_beta 90.00
_cell_angle_gamma 90.00
loop_
_atom_site_label
_atom_site_fract_x
_atom_site_fract_y
_atom_site_fract_z
Hf1 0.000 0.500 0.000
Co1 0.000 0.000 0.500
H1 0.000 0.000 0.000
Rh1 0.500 0.500 0.500
```

The calculation puts the density of states at the Fermi level at 3.55 states/eV/f.u.

Stability summary - winner: 2; margin: 120 meV per atom.

1 | A plane-wave DFT calculation with GGA-PBE was carried out for a geometry-optimized HfCoHRu2 structure.

Geometry as CIF:
```
data_HfCoHRu2
_symmetry_space_group_name_H-M 'P 4/m m m'
_symmetry_Int_Tables_number 123
_symmetry_space_group_name_Hall '-P 4 2'
_cell_length_a 3.978
_cell_length_b 3.978
_cell_length_c 3.794
_cell_angle_alpha 90.00
_cell_angle_beta 90.00
_cell_angle_gamma 90.00
loop_
_atom_site_label
_atom_site_fract_x
_atom_site_fract_y
_atom_site_fract_z
Hf1 0.000 0.000 0.000
Co1 0.500 0.500 0.000
H1 0.500 0.500 0.500
Ru1 0.000 0.500 0.500
```

The calculation puts the density of states at the Fermi level at 6.82 states/eV/f.u.

2 | A plane-wave DFT calculation with GGA-PBE was carried out for a geometry-optimized HfCoHRu2 structure.

Geometry as CIF:
```
data_HfCoHRu2
_symmetry_space_group_name_H-M 'P 4/m m m'
_symmetry_Int_Tables_number 123
_symmetry_space_group_name_Hall '-P 4 2'
_cell_length_a 3.856
_cell_length_b 3.856
_cell_length_c 4.085
_cell_angle_alpha 90.00
_cell_angle_beta 90.00
_cell_angle_gamma 90.00
loop_
_atom_site_label
_atom_site_fract_x
_atom_site_fract_y
_atom_site_fract_z
Hf1 0.000 0.000 0.000
Co1 0.500 0.500 0.000
H1 0.000 0.000 0.500
Ru1 0.000 0.500 0.500
```

The calculation puts the density of states at the Fermi level at 4.89 states/eV/f.u.

Stability summary - winner: 1; margin: 78 meV per atom.